Material: YAgHg4
Method: DFT, PBE
State: relaxed

a = 6.1117 Å, b = 8.3818 Å, c = 6.1361 Å
α = 90.00°, β = 116.27°, γ = 90.00°
With the nearest neighbours (Å) after each atom.
Atoms (fractional coordinates):
Y 0.1193 0.2500 0.3806  12 Hg 3.22-3.42, 2 Ag 3.25
Y 0.8807 0.7500 0.6194  12 Hg 3.22-3.42, 2 Ag 3.25
Ag 0.3460 0.7500 0.1536  8 Hg 3.18-3.20, 2 Y 3.25
Ag 0.6540 0.2500 0.8464  8 Hg 3.18-3.20, 2 Y 3.25
Hg 0.1351 0.0784 0.8827  4 Hg 2.88-3.13, 2 Ag 3.18-3.19, 1 Y 3.22
Hg 0.1351 0.4216 0.8827  4 Hg 2.88-3.13, 2 Ag 3.18-3.19, 1 Y 3.22
Hg 0.3817 0.5783 0.6337  4 Hg 2.88-3.13, 2 Ag 3.18-3.20, 1 Y 3.22
Hg 0.3817 0.9217 0.6337  4 Hg 2.88-3.13, 2 Ag 3.18-3.20, 1 Y 3.22
Hg 0.6183 0.0783 0.3663  4 Hg 2.88-3.13, 2 Ag 3.18-3.20, 1 Y 3.22
Hg 0.6183 0.4217 0.3663  4 Hg 2.88-3.13, 2 Ag 3.18-3.20, 1 Y 3.22
Hg 0.8649 0.5784 0.1173  4 Hg 2.88-3.13, 2 Ag 3.18-3.19, 1 Y 3.22
Hg 0.8649 0.9216 0.1173  4 Hg 2.88-3.13, 2 Ag 3.18-3.19, 1 Y 3.22

## Properties
SG: P2_1/m, No. 11
Total magnetization, μB per cell: 0.00
DFT total energy, eV per cell: -22.69
Energy above the most stable polymorph in this dataset, meV per atom: 36